Entry 1:
Here is a relaxed Ti5FeIr2Pd2 crystal from Alexandria. Energies are from PBE.

Geometry as CIF:
```
data_Ti5FeIr2Pd2
_chemical_formula_sum 'Ti10 Fe2 Ir4 Pd4'
_symmetry_space_group_name_H-M 'P 1'
_symmetry_Int_Tables_number 1
_symmetry_space_group_name_Hall 'P 1'
_cell_length_a 2.9252
_cell_length_b 10.5139
_cell_length_c 10.5139
_cell_angle_alpha 90.00
_cell_angle_beta 90.00
_cell_angle_gamma 90.00
loop_
_atom_site_label
_atom_site_fract_x
_atom_site_fract_y
_atom_site_fract_z
Ti1 0.5000 0.0000 0.5000
Ti2 0.5000 0.3803 0.3436
Ti3 0.5000 0.1197 0.8436
Ti4 0.5000 0.6564 0.3803
Ti5 0.5000 0.1564 0.1197
Ti6 0.5000 0.6197 0.6564
Ti7 0.5000 0.8803 0.1564
Ti8 0.5000 0.8436 0.8803
Ti9 0.5000 0.5000 0.0000
Ti10 0.5000 0.3436 0.6197
Pd1 0.0000 0.6555 0.1555
Pd2 0.0000 0.3445 0.8445
Pd3 0.0000 0.1555 0.3445
Pd4 0.0000 0.8445 0.6555
Fe1 0.0000 0.0000 0.0000
Fe2 0.0000 0.5000 0.5000
Ir1 0.0000 0.1442 0.6442
Ir2 0.0000 0.8558 0.3558
Ir3 0.0000 0.3558 0.1442
Ir4 0.0000 0.6442 0.8558
```

Calculated values
DFT formation energy (eV per atom): -0.4051
Symmetry: P4/mbm (127)

---

Entry 2:
Here is a relaxed YSn2W crystal from Alexandria. Energies are from PBE.

Geometry as CIF:
```
data_YSn2W
_chemical_formula_sum 'Y2 Sn4 W2'
_symmetry_space_group_name_H-M 'P 1'
_symmetry_Int_Tables_number 1
_symmetry_space_group_name_Hall 'P 1'
_cell_length_a 4.3430
_cell_length_b 4.3430
_cell_length_c 10.8688
_cell_angle_alpha 78.48
_cell_angle_beta 78.48
_cell_angle_gamma 90.00
loop_
_atom_site_label
_atom_site_fract_x
_atom_site_fract_y
_atom_site_fract_z
Sn1 0.3750 0.3550 0.7500
Sn2 0.8750 0.8950 0.7500
Sn3 0.1050 0.6250 0.2500
Sn4 0.6450 0.1250 0.2500
Y1 0.5000 0.5000 0.0000
Y2 0.2500 0.7500 0.5000
W1 0.7500 0.2500 0.5000
W2 0.0000 0.0000 0.0000
```

Calculated values
Distance to the lowest polymorph of the same formula (meV/atom): 368
DFT formation energy (eV per atom): 0.5257
Symmetry: I-42d (122)

---

Entry 3:
Here is a relaxed UGe2Rh2 crystal from Alexandria. Energies are from PBE.

Geometry as CIF:
```
data_UGe2Rh2
_chemical_formula_sum 'U1 Ge2 Rh2'
_symmetry_space_group_name_H-M 'P 1'
_symmetry_Int_Tables_number 1
_symmetry_space_group_name_Hall 'P 1'
_cell_length_a 5.9978
_cell_length_b 5.9978
_cell_length_c 5.9978
_cell_angle_alpha 140.04
_cell_angle_beta 140.04
_cell_angle_gamma 57.79
loop_
_atom_site_label
_atom_site_fract_x
_atom_site_fract_y
_atom_site_fract_z
U1 0.0000 0.0000 0.0000
Rh1 0.7500 0.2500 0.5000
Rh2 0.2500 0.7500 0.5000
Ge1 0.6186 0.6186 0.0000
Ge2 0.3814 0.3814 0.0000
```

Calculated values
Distance to the lowest polymorph of the same formula (meV/atom): 0
DFT formation energy (eV per atom): -0.5467
Symmetry: I4/mmm (139)